# 1
# ZnP3 | Alexandria via LeMat-Bulk | GGA-PBE | relaxed
data_ZnP3
_space_group_name_H-M_alt 'P m m 2'
_space_group_IT_number 25
_cell_length_a 3.1315
_cell_length_b 3.3775
_cell_length_c 6.0303
_cell_angle_alpha 90.00
_cell_angle_beta 90.00
_cell_angle_gamma 90.00
loop_
_space_group_symop_operation_xyz
'x,y,z'
'-x,-y,z'
'-x,y,z'
'x,-y,z'
loop_
_atom_site_label
_atom_site_fract_x
_atom_site_fract_y
_atom_site_fract_z
Zn1 0.0000 0.0000 0.0000
P1 0.0000 0.5000 0.4932
P2 0.5000 0.0000 0.6548
P3 0.5000 0.5000 0.1986
# - calculated total energy (eV/atom) = -4.05
# - size of the total moment (μB per atom) = 0.00
# - ΔE to the lowest computed polymorph (meV/atom) = 449
# - V (Å³ per atom) = 15.945

=====

# 2
# Zn6P | Alexandria via LeMat-Bulk | GGA-PBE | relaxed
data_Zn6P
_space_group_name_H-M_alt 'I m -3 m'
_space_group_IT_number 229
_space_group_name_Hall '-I 4 2 3'
_cell_length_a 6.9535
_cell_length_b 6.9535
_cell_length_c 6.9535
_cell_angle_alpha 90.00
_cell_angle_beta 90.00
_cell_angle_gamma 90.00
loop_
_atom_site_label
_atom_site_fract_x
_atom_site_fract_y
_atom_site_fract_z
Zn1 0.0000 0.2500 0.5000
P1 0.0000 0.0000 0.0000
# - calculated total energy (eV/atom) = -1.10
# - size of the total moment (μB per atom) = 0.16
# - V (Å³ per atom) = 24.015

=====

# 3
# ZnP2 | Alexandria via LeMat-Bulk | GGA-PBE | relaxed
data_ZnP2
_space_group_name_H-M_alt 'P -3 m 1'
_space_group_IT_number 164
_space_group_name_Hall '-P 3 2"'
_cell_length_a 3.3748
_cell_length_b 3.3748
_cell_length_c 4.8619
_cell_angle_alpha 90.00
_cell_angle_beta 90.00
_cell_angle_gamma 120.00
loop_
_atom_site_label
_atom_site_fract_x
_atom_site_fract_y
_atom_site_fract_z
Zn1 0.0000 0.0000 0.0000
P1 0.3333 0.6667 0.3657
# - calculated total energy (eV/atom) = -3.92
# - size of the total moment (μB per atom) = 0.00
# - V (Å³ per atom) = 15.985

=====

# 4
# Zn4P | Alexandria via LeMat-Bulk | GGA-PBE | relaxed
data_Zn4P
_space_group_name_H-M_alt 'P m -3 m'
_space_group_IT_number 221
_space_group_name_Hall '-P 4 2 3'
_cell_length_a 4.7406
_cell_length_b 4.7406
_cell_length_c 4.7406
_cell_angle_alpha 90.00
_cell_angle_beta 90.00
_cell_angle_gamma 90.00
loop_
_atom_site_label
_atom_site_fract_x
_atom_site_fract_y
_atom_site_fract_z
Zn1 0.0000 0.0000 0.0000
Zn2 0.0000 0.5000 0.5000
P1 0.5000 0.5000 0.5000
# - calculated total energy (eV/atom) = -1.69
# - size of the total moment (μB per atom) = 0.00
# - ΔE to the lowest computed polymorph (meV/atom) = 262
# - V (Å³ per atom) = 21.307

=====

# 5
# ZnP2 | Alexandria via LeMat-Bulk | GGA-PBE | relaxed
data_ZnP2
_space_group_name_H-M_alt 'C 1 2/m 1'
_space_group_IT_number 12
_cell_length_a 12.1840
_cell_length_b 2.5532
_cell_length_c 8.5867
_cell_angle_alpha 90.00
_cell_angle_beta 120.62
_cell_angle_gamma 90.00
loop_
_space_group_symop_operation_xyz
'x,y,z'
'-x,-y,-z'
'-x,y,-z'
'x,-y,z'
'x+1/2,y+1/2,z'
'-x+1/2,-y+1/2,-z'
'-x+1/2,y+1/2,-z'
'x+1/2,-y+1/2,z'
loop_
_atom_site_label
_atom_site_fract_x
_atom_site_fract_y
_atom_site_fract_z
Zn1 0.1506 0.0000 0.4956
P1 0.0173 0.5000 0.7890
P2 0.1918 0.5000 0.7838
# - calculated total energy (eV/atom) = -3.83
# - size of the total moment (μB per atom) = 0.00
# - V (Å³ per atom) = 19.157

=====

# 6
# Zn2P | Alexandria via LeMat-Bulk | GGA-PBE | relaxed
data_Zn2P
_space_group_name_H-M_alt 'C 1 2/m 1'
_space_group_IT_number 12
_cell_length_a 10.1361
_cell_length_b 2.6214
_cell_length_c 9.1137
_cell_angle_alpha 90.00
_cell_angle_beta 121.58
_cell_angle_gamma 90.00
loop_
_space_group_symop_operation_xyz
'x,y,z'
'-x,-y,-z'
'-x,y,-z'
'x,-y,z'
'x+1/2,y+1/2,z'
'-x+1/2,-y+1/2,-z'
'-x+1/2,y+1/2,-z'
'x+1/2,-y+1/2,z'
loop_
_atom_site_label
_atom_site_fract_x
_atom_site_fract_y
_atom_site_fract_z
Zn1 0.1135 0.0000 0.2539
Zn2 0.1424 0.5000 0.0070
P1 0.1090 0.5000 0.5025
# - calculated total energy (eV/atom) = -2.55
# - size of the total moment (μB per atom) = 0.00
# - V (Å³ per atom) = 17.192

=====

# 7
# Zn2P | Alexandria via LeMat-Bulk | GGA-PBE | relaxed
data_Zn2P
_space_group_name_H-M_alt 'I 4/m c m'
_space_group_IT_number 140
_space_group_name_Hall '-I 4 2c'
_cell_length_a 6.0609
_cell_length_b 6.0609
_cell_length_c 5.3789
_cell_angle_alpha 90.00
_cell_angle_beta 90.00
_cell_angle_gamma 90.00
loop_
_atom_site_label
_atom_site_fract_x
_atom_site_fract_y
_atom_site_fract_z
Zn1 0.1458 0.3542 0.0000
P1 0.0000 0.0000 0.2500
# - calculated total energy (eV/atom) = -2.42
# - size of the total moment (μB per atom) = 0.00
# - V (Å³ per atom) = 16.466

=====

# 8
# Zn2P | Alexandria via LeMat-Bulk | GGA-PBE | relaxed
data_Zn2P
_space_group_name_H-M_alt 'C 1 2/m 1'
_space_group_IT_number 12
_cell_length_a 10.9477
_cell_length_b 2.5830
_cell_length_c 3.6177
_cell_angle_alpha 90.00
_cell_angle_beta 91.46
_cell_angle_gamma 90.00
loop_
_space_group_symop_operation_xyz
'x,y,z'
'-x,-y,-z'
'-x,y,-z'
'x,-y,z'
'x+1/2,y+1/2,z'
'-x+1/2,-y+1/2,-z'
'-x+1/2,y+1/2,-z'
'x+1/2,-y+1/2,z'
loop_
_atom_site_label
_atom_site_fract_x
_atom_site_fract_y
_atom_site_fract_z
Zn1 0.1445 0.0000 0.0112
P1 0.0000 0.5000 0.5000
# - calculated total energy (eV/atom) = -2.48
# - size of the total moment (μB per atom) = 0.00
# - V (Å³ per atom) = 17.045